VASP calculation (SCAN) on a crystal of Mg2AgMo relaxed with PBEsol.

The total DFT energy (no corrections) is -74.905 eV/f.u. For the magnetic moment, the calculation gives 0.0994 μB/atom. The value obtained for the calculated density is 6.10 Mg/m³. For the formation energy, the calculation gives 0.324 eV/atom. The distance to the lowest polymorph of the same formula is 0.227 eV/atom.

The space group is C2/m (No. 12) and the conventional cell measures 9.5169, 2.7719 and 5.2994 Å, with angles of 90.00, 100.40 and 90.00 degrees. The distinct sites, in fractional coordinates, are Mg at (0.2450, 0.0000, 0.2576), Ag at (0.0000, 0.5000, 0.0000) and Mo at (0.0000, 0.0000, 0.5000).